Record 1
Re2IrSeN | PBE | relaxed

a = 4.978 Å, b = 3.620 Å, c = 4.978 Å
α = 90.00°, β = 90.00°, γ = 90.00°
Last column: magnetic moment on the atom in μB.
Fractional positions:
Re: 0.000 0.000 0.500  1.25
Re: 0.500 0.000 0.000  1.26
Ir: 0.000 0.000 0.000  -0.02
Se: 0.500 0.500 0.500  -0.03
N: 0.000 0.500 0.000  0.10

Calculated values
The total energy is -36.5 eV per cell.

Record 2
ReIrSe2N | PBE | relaxed

a = 5.091 Å, b = 5.091 Å, c = 3.613 Å
α = 90.00°, β = 90.00°, γ = 90.00°
Last column: magnetic moment on the atom in μB.
Fractional positions:
Re: 0.500 0.500 0.500  2.78
Ir: 0.000 0.000 0.000  -0.02
Se: 0.000 0.500 0.000  -0.08
Se: 0.500 0.000 0.000  -0.08
N: 0.000 0.000 0.500  0.02

Calculated values
The calculation puts the energy above the most stable polymorph in this dataset at 238 meV/atom. The total energy is -30.8 eV per cell.

Record 3
TaReIrN2 | PBE | relaxed

a = 3.775 Å, b = 5.419 Å, c = 3.775 Å
α = 90.00°, β = 90.00°, γ = 90.00°
Last column: magnetic moment on the atom in μB.
Fractional positions:
Re: 0.000 0.000 0.000  0.06
N: 0.000 0.000 0.500  -0.10
N: 0.500 0.000 0.000  -0.08
Ir: 0.000 0.500 0.000  -0.02
Ta: 0.500 0.500 0.500  0.20

Calculated values
The calculation puts the energy above the most stable polymorph in this dataset at 0 meV/atom. The total energy is -45.9 eV per cell.

Record 4
TaReIrN2 | PBE | relaxed

a = 3.846 Å, b = 5.693 Å, c = 3.846 Å
α = 90.00°, β = 90.00°, γ = 90.00°
Fractional positions:
Re: 0.000 0.500 0.000
N: 0.000 0.000 0.500
N: 0.500 0.000 0.000
Ir: 0.500 0.500 0.500
Ta: 0.000 0.000 0.000

Calculated values
The calculation puts the energy above the most stable polymorph in this dataset at 670 meV/atom. The total energy is -42.5 eV per cell.

Record 5
ReTeIrN2 | PBE | relaxed

a = 3.774 Å, b = 3.774 Å, c = 6.973 Å
α = 90.00°, β = 90.00°, γ = 90.00°
Last column: magnetic moment on the atom in μB.
Fractional positions:
Re: 0.500 0.500 0.500  2.20
Ir: 0.000 0.000 0.000  -0.05
Te: 0.000 0.000 0.500  -0.06
N: 0.000 0.500 0.000  0.18
N: 0.500 0.000 0.000  0.18

Calculated values
The calculation puts the energy above the most stable polymorph in this dataset at 620 meV/atom. The total energy is -33.5 eV per cell.

Record 6
ReTe2IrN | PBE | relaxed

a = 5.392 Å, b = 5.392 Å, c = 3.608 Å
α = 90.00°, β = 90.00°, γ = 90.00°
Last column: magnetic moment on the atom in μB.
Fractional positions:
Re: 0.500 0.500 0.500  2.09
Ir: 0.000 0.000 0.000  -0.01
Te: 0.000 0.500 0.000  -0.08
Te: 0.500 0.000 0.000  -0.08
N: 0.000 0.000 0.500  0.00

Calculated values
The calculation puts the energy above the most stable polymorph in this dataset at 263 meV/atom. The total energy is -30.5 eV per cell.

In eV/atom, the formation energy without anion corrections values for the records above are, in order, 1.8087; 1.1590; 0.7846; 1.4542; 1.5107; 1.0818.
In Mg/m³, the calculated density values for the records above are, in order, 12.2; 9.8; 12.6; 11.6; 8.9; 10.2.